A relaxed structure of LaNd2Cd2Hg2, computed with PBE-GGA.

Unit cell a=5.028 b=5.028 c=9.634 alpha=74.87 beta=74.87 gamma=60.00
Sites, in units of the cell vectors:
La  0.000  0.000  0.000
Nd  0.126  0.126  0.623
Nd  0.874  0.874  0.377
Cd  0.742  0.742  0.774
Cd  0.258  0.258  0.226
Hg  0.600  0.600  0.201
Hg  0.400  0.400  0.799

As for the space group: R-3m (166). As for the total energy: -2.718 eV/atom. The volume is 28.73 Å³/atom.